(1)
RbOsOF2: optimized geometry, PBE.

Unit cell a=4.521 b=4.521 c=3.784 alpha=90.00 beta=90.00 gamma=90.00
Space group P4/mmm (No. 123)
Symmetry-distinct sites (fractional):
Rb1 0.000 0.000 0.000
Os1 0.500 0.500 0.500
O1 0.500 0.500 0.000
F1 0.000 0.500 0.500

Output
total energy = -5.557 eV/atom
DOS at the Fermi energy = 2.4 states/eV/f.u.
formation energy from raw total energies = -6.88 eV/f.u.
total magnetic moment = 0.000 μB per atom
theoretical density = 7.080 Mg/m³
polymorph energy (0 for the lowest one) = 0 meV per atom

---

(2)
AcLaTb2Pm: optimized geometry, PBE.

Unit cell a=6.647 b=17.655 c=6.526 alpha=90.00 beta=90.00 gamma=90.00
Space group Cmcm (No. 63)
Symmetry-distinct sites (fractional):
Ac1 0.000 0.156 0.250
La1 0.000 0.346 0.250
Tb1 0.243 0.500 0.000
Pm1 0.000 0.282 0.750

Output
total energy = -4.258 eV/atom
DOS at the Fermi energy = 8.5 states/eV/f.u.
total magnetic moment = 0.000 μB per atom
theoretical density = 7.188 Mg/m³

---

(3)
NaY2US6: optimized geometry, PBE.

Unit cell a=6.9219 b=6.9219 c=18.6362 alpha=90.00 beta=90.00 gamma=120.00
Space group R3 (No. 146, hexagonal axes)
Symmetry-distinct sites (fractional):
Na1 0.0000 0.0000 0.0000
Y1 0.0000 0.0000 0.2845
Y2 0.0000 0.0000 0.7967
U1 0.0000 0.0000 0.4809
S1 0.0236 0.3393 0.5534
S2 0.0272 0.7255 0.3901

Output
total energy = -6.693 eV/atom
DOS at the Fermi energy = 0.1 states/eV/f.u.
formation energy from raw total energies = -16.63 eV/f.u.
total magnetic moment = 0.100 μB per atom
theoretical density = 4.066 Mg/m³

---

Question: Look up the theoretical density of the third one.
Answer: 4.066 Mg/m³